No. 1
5
Lattice="-1.8374 -3.2626 -3.8447 0.1804 -3.8220 3.1570 -5.0387 1.0295 1.5343" Properties=species:S:1:pos:R:3 comment="BaYSn2F PBE relaxed" e_form_raw_ev_per_atom=-0.94 space_group="P4/mmm, No. 123" density_g_cm3=5.6 pbc="T T T"
Y -3.3478 -3.0275 0.4233
F 0.0000 0.0000 0.0000
Ba 0.0902 -1.9110 1.5785
Sn -2.5193 0.5148 0.7672
Sn -0.9187 -1.6313 -1.9224


No. 2
8
Lattice="8.4884 0.0000 0.0000 0.0000 8.4884 0.0000 4.2442 4.2442 5.5962" Properties=species:S:1:pos:R:3 comment="Ba2SrF PBE relaxed" e_form_raw_ev_per_atom=-1.32 e_above_lowest_polymorph_mev_per_atom=0 space_group="I-42d, No. 122" density_g_cm3=3.1 pbc="T T T"
Sr 0.0000 0.0000 0.0000
Sr 8.4884 4.2442 2.7981
Ba 4.9088 2.1221 1.3991
Ba 3.5795 6.3663 1.3991
Ba 6.3663 7.8237 4.1972
Ba 10.6105 9.1530 4.1972
F 4.2442 4.2442 0.0000
F 4.2442 8.4884 2.7981


No. 3
8
Lattice="6.1803 0.0000 0.0000 0.0000 6.1803 0.0000 3.0901 3.0901 6.1558" Properties=species:S:1:pos:R:3 comment="BaSrF2 PBE relaxed" e_form_raw_ev_per_atom=-2.64 e_above_lowest_polymorph_mev_per_atom=233 space_group="I-42d, No. 122" density_g_cm3=3.7 pbc="T T T"
Sr 3.0901 3.0901 0.0000
Sr 3.0901 6.1803 3.0779
Ba 0.0000 0.0000 0.0000
Ba 6.1803 3.0901 3.0779
F 4.4364 1.5451 1.5390
F 1.7438 4.6352 1.5390
F 4.6352 4.8340 4.6169
F 7.7253 7.5266 4.6169


No. 4
7
Lattice="-1.4275 -2.7430 3.0329 -2.4674 -1.9839 -2.9558 4.6504 -3.8532 -1.2958" Properties=species:S:1:pos:R:3 comment="BaSrF5 PBE relaxed" e_form_raw_ev_per_atom=-3.25 space_group="P4/mmm, No. 123" density_g_cm3=4.6 pbc="T T T"
Ba 0.0000 0.0000 0.0000
Sr 0.3778 -4.2900 -0.6094
F -2.0128 -4.3233 -1.7649
F -1.4929 -4.7028 1.2294
F 2.3252 -1.9266 -0.6479
F 2.2485 -3.8772 -2.4482
F 2.7684 -4.2567 0.5461


No. 5
5
Lattice="-4.1818 3.8215 -2.1346 -2.1302 -4.3557 -3.6247 -3.8240 -1.7528 4.3535" Properties=species:S:1:pos:R:3 comment="Ba3SrF PBE relaxed" e_form_raw_ev_per_atom=-1.01 e_above_lowest_polymorph_mev_per_atom=0 space_group="Pm-3m, No. 221" density_g_cm3=3.9 pbc="T T T"
Sr -5.0680 -1.1435 -0.7029
Ba -1.0651 -2.1778 -1.8124
Ba -1.9120 -0.8764 2.1768
Ba -2.0909 1.9108 -1.0673
F 0.0000 0.0000 0.0000


No. 6
4
Lattice="2.7151 5.3902 2.6957 -1.9786 2.0702 5.9575 4.0297 -0.5811 5.2073" Properties=species:S:1:pos:R:3 comment="Ba2SrF PBE relaxed" e_form_raw_ev_per_atom=-0.44 e_above_lowest_polymorph_mev_per_atom=885 space_group="Fm-3m, No. 225" density_g_cm3=3.1 pbc="T T T"
Sr 2.3831 3.4397 6.9303
Ba 1.1915 1.7198 3.4651
Ba 3.5746 5.1595 10.3954
F 0.0000 0.0000 0.0000


Copy entry 5 word for word.
5
Lattice="-4.1818 3.8215 -2.1346 -2.1302 -4.3557 -3.6247 -3.8240 -1.7528 4.3535" Properties=species:S:1:pos:R:3 comment="Ba3SrF PBE relaxed" e_form_raw_ev_per_atom=-1.01 e_above_lowest_polymorph_mev_per_atom=0 space_group="Pm-3m, No. 221" density_g_cm3=3.9 pbc="T T T"
Sr -5.0680 -1.1435 -0.7029
Ba -1.0651 -2.1778 -1.8124
Ba -1.9120 -0.8764 2.1768
Ba -2.0909 1.9108 -1.0673
F 0.0000 0.0000 0.0000